PBE Na5B6C4, optimized geometry; formation enthalpy at 0 K = 8 kJ per mole of atoms
1.0
4.956 0.000 0.000
0.000 8.474 0.000
-2.478 0.000 7.163
Na B C
10 12 8
direct
0.000 0.000 0.000
0.000 0.500 0.000
0.201 0.000 0.400
0.201 0.500 0.400
0.400 0.002 0.799
0.400 0.498 0.799
0.600 0.502 0.201
0.600 0.998 0.201
0.799 0.000 0.600
0.799 0.500 0.600
0.069 0.250 0.811
0.132 0.250 0.600
0.142 0.750 0.612
0.266 0.250 0.200
0.334 0.750 0.000
0.484 0.250 0.599
0.516 0.750 0.401
0.666 0.250 0.000
0.734 0.750 0.800
0.858 0.250 0.388
0.868 0.750 0.400
0.931 0.750 0.189
0.074 0.750 0.806
0.266 0.750 0.198
0.332 0.250 0.005
0.468 0.750 0.603
0.532 0.250 0.397
0.668 0.750 0.995
0.734 0.250 0.802
0.926 0.250 0.194



PBE Na5B9C, optimized geometry; formation enthalpy at 0 K = 23 kJ per mole of atoms
1.0
9.150 -1.405 0.000
9.150 1.405 0.000
-5.082 0.000 12.957
Na B C
10 18 2
direct
0.000 0.000 0.000
0.000 0.000 0.500
0.200 0.200 0.399
0.200 0.200 0.901
0.400 0.400 0.299
0.400 0.400 0.803
0.600 0.600 0.197
0.600 0.600 0.701
0.800 0.800 0.099
0.800 0.800 0.601
0.026 0.026 0.300
0.166 0.166 0.082
0.168 0.168 0.587
0.229 0.229 0.207
0.230 0.230 0.711
0.373 0.373 0.495
0.374 0.374 0.997
0.434 0.434 0.619
0.438 0.438 0.126
0.562 0.562 0.874
0.566 0.566 0.381
0.626 0.626 0.003
0.627 0.627 0.505
0.770 0.770 0.289
0.771 0.771 0.793
0.832 0.832 0.413
0.834 0.834 0.918
0.974 0.974 0.700
0.032 0.032 0.814
0.968 0.968 0.186